*one*
DFT (PBE) results for a geometry-optimized CoNiSe structure.

The structure in CIF format:
```
data_CoNiSe
_chemical_formula_sum 'Co2 Ni2 Se2'
_space_group_name_H-M_alt 'I 4 m m'
_space_group_IT_number 107
_space_group_name_Hall 'I 4 -2'
_cell_length_a 3.2794
_cell_length_b 3.2794
_cell_length_c 7.1645
_cell_angle_alpha 90.00
_cell_angle_beta 90.00
_cell_angle_gamma 90.00
loop_
_atom_site_label
_atom_site_type_symbol
_atom_site_fract_x
_atom_site_fract_y
_atom_site_fract_z
Co1 Co 0.0000 0.0000 0.0000
Ni1 Ni 0.0000 0.0000 0.6520
Se1 Se 0.0000 0.0000 0.3294
```

- Density of states at the Fermi level: 1.821 states/eV/atom
- V: 77.0 Å³ per cell
- Crystal system: tetragonal

*two*
DFT (PBE) results for a geometry-optimized CoNiSe structure.

The structure in CIF format:
```
data_CoNiSe
_chemical_formula_sum 'Co4 Ni4 Se4'
_space_group_name_H-M_alt 'C 1 2/m 1'
_space_group_IT_number 12
_space_group_name_Hall '-C 2y'
_cell_length_a 7.4852
_cell_length_b 3.6271
_cell_length_c 7.3622
_cell_angle_alpha 90.00
_cell_angle_beta 104.48
_cell_angle_gamma 90.00
loop_
_atom_site_label
_atom_site_type_symbol
_atom_site_fract_x
_atom_site_fract_y
_atom_site_fract_z
Co1 Co 0.0812 0.0000 0.1702
Ni1 Ni 0.1361 0.5000 0.9415
Se1 Se 0.2026 0.0000 0.7225
```

- Density of states at the Fermi level: 1.459 states/eV/atom
- V: 193.5 Å³ per cell
- Crystal system: monoclinic

*three*
DFT (PBE) results for a geometry-optimized CoNiSe structure.

The structure in CIF format:
```
data_CoNiSe
_chemical_formula_sum 'Co6 Ni6 Se6'
_space_group_name_H-M_alt 'R -3 m'
_space_group_IT_number 166
_space_group_name_Hall '-R 3 2"'
_cell_length_a 3.9047
_cell_length_b 3.9047
_cell_length_c 18.3396
_cell_angle_alpha 90.00
_cell_angle_beta 90.00
_cell_angle_gamma 120.00
loop_
_atom_site_label
_atom_site_type_symbol
_atom_site_fract_x
_atom_site_fract_y
_atom_site_fract_z
Co1 Co 0.0000 0.0000 0.2157
Ni1 Ni 0.0000 0.0000 0.3702
Se1 Se 0.0000 0.0000 0.0886
```

- Density of states at the Fermi level: 0.805 states/eV/atom
- V: 242.2 Å³ per cell
- Crystal system: trigonal

Verdict on stability: *one* comes out at the bottom.

*one*
DFT (PBE) results for a geometry-optimized CoNiSe structure.

The structure in CIF format:
```
data_CoNiSe
_chemical_formula_sum 'Co1 Ni1 Se1'
_space_group_name_H-M_alt 'P 3 m 1'
_space_group_IT_number 156
_space_group_name_Hall 'P 3 -2"'
_cell_length_a 3.8317
_cell_length_b 3.8317
_cell_length_c 3.1122
_cell_angle_alpha 90.00
_cell_angle_beta 90.00
_cell_angle_gamma 120.00
loop_
_atom_site_label
_atom_site_type_symbol
_atom_site_fract_x
_atom_site_fract_y
_atom_site_fract_z
Co1 Co 0.0000 0.0000 0.0000
Ni1 Ni 0.6667 0.3333 0.4991
Se1 Se 0.3333 0.6667 0.9103
```

- Density of states at the Fermi level: 0.637 states/eV/atom
- V: 39.6 Å³ per cell
- Crystal system: trigonal

*two*
DFT (PBE) results for a geometry-optimized CoNiSe structure.

The structure in CIF format:
```
data_CoNiSe
_chemical_formula_sum 'Co4 Ni4 Se4'
_space_group_name_H-M_alt 'F -4 3 m'
_space_group_IT_number 216
_space_group_name_Hall 'F -4 2 3'
_cell_length_a 5.4944
_cell_length_b 5.4944
_cell_length_c 5.4944
_cell_angle_alpha 90.00
_cell_angle_beta 90.00
_cell_angle_gamma 90.00
loop_
_atom_site_label
_atom_site_type_symbol
_atom_site_fract_x
_atom_site_fract_y
_atom_site_fract_z
Co1 Co 0.0000 0.0000 0.0000
Ni1 Ni 0.0000 0.0000 0.5000
Se1 Se 0.2500 0.2500 0.7500
```

- Density of states at the Fermi level: 0.645 states/eV/atom
- V: 165.9 Å³ per cell
- Crystal system: cubic

Verdict on stability: *one* comes out at the bottom.

*one*
DFT (PBE) results for a geometry-optimized CoNi2Se6 structure.

The structure in CIF format:
```
data_CoNi2Se6
_chemical_formula_sum 'Co2 Ni4 Se12'
_space_group_name_H-M_alt 'C 1 2/m 1'
_space_group_IT_number 12
_space_group_name_Hall '-C 2y'
_cell_length_a 10.9635
_cell_length_b 3.6200
_cell_length_c 10.0763
_cell_angle_alpha 90.00
_cell_angle_beta 113.50
_cell_angle_gamma 90.00
loop_
_atom_site_label
_atom_site_type_symbol
_atom_site_fract_x
_atom_site_fract_y
_atom_site_fract_z
Co1 Co 0.0000 0.0000 0.0000
Ni1 Ni 0.1657 0.5000 0.3328
Se1 Se 0.0447 0.5000 0.8720
Se2 Se 0.1222 0.0000 0.4648
Se3 Se 0.2083 0.0000 0.1997
```

- Density of states at the Fermi level: 0.312 states/eV/atom
- V: 366.7 Å³ per cell
- Crystal system: monoclinic

*two*
DFT (PBE) results for a geometry-optimized CoNi2Se6 structure.

The structure in CIF format:
```
data_CoNi2Se6
_chemical_formula_sum 'Co2 Ni4 Se12'
_space_group_name_H-M_alt 'P 42/m n m'
_space_group_IT_number 136
_space_group_name_Hall '-P 4n 2n'
_cell_length_a 5.5466
_cell_length_b 5.5466
_cell_length_c 11.1125
_cell_angle_alpha 90.00
_cell_angle_beta 90.00
_cell_angle_gamma 90.00
loop_
_atom_site_label
_atom_site_type_symbol
_atom_site_fract_x
_atom_site_fract_y
_atom_site_fract_z
Co1 Co 0.0000 0.0000 0.0000
Ni1 Ni 0.0000 0.0000 0.3325
Se1 Se 0.1919 0.1919 0.1643
Se2 Se 0.1936 0.1936 0.5000
```

- Density of states at the Fermi level: 1.147 states/eV/atom
- V: 341.9 Å³ per cell
- Crystal system: tetragonal

Verdict on stability: *two* comes out at the bottom.

*one*
DFT (PBE) results for a geometry-optimized Co2NiSe6 structure.

The structure in CIF format:
```
data_Co2NiSe6
_chemical_formula_sum 'Co4 Ni2 Se12'
_space_group_name_H-M_alt 'C 1 2/m 1'
_space_group_IT_number 12
_space_group_name_Hall '-C 2y'
_cell_length_a 10.7883
_cell_length_b 3.6178
_cell_length_c 10.0293
_cell_angle_alpha 90.00
_cell_angle_beta 113.09
_cell_angle_gamma 90.00
loop_
_atom_site_label
_atom_site_type_symbol
_atom_site_fract_x
_atom_site_fract_y
_atom_site_fract_z
Co1 Co 0.1666 0.0000 0.3337
Ni1 Ni 0.0000 0.5000 0.0000
Se1 Se 0.0444 0.0000 0.8664
Se2 Se 0.1228 0.5000 0.4648
Se3 Se 0.2118 0.5000 0.2059
```

- Density of states at the Fermi level: 0.520 states/eV/atom
- V: 360.1 Å³ per cell
- Crystal system: monoclinic

*two*
DFT (PBE) results for a geometry-optimized Co2NiSe6 structure.

The structure in CIF format:
```
data_Co2NiSe6
_chemical_formula_sum 'Co4 Ni2 Se12'
_space_group_name_H-M_alt 'P 42/m n m'
_space_group_IT_number 136
_space_group_name_Hall '-P 4n 2n'
_cell_length_a 5.5217
_cell_length_b 5.5217
_cell_length_c 11.0890
_cell_angle_alpha 90.00
_cell_angle_beta 90.00
_cell_angle_gamma 90.00
loop_
_atom_site_label
_atom_site_type_symbol
_atom_site_fract_x
_atom_site_fract_y
_atom_site_fract_z
Co1 Co 0.0000 0.0000 0.1666
Ni1 Ni 0.0000 0.0000 0.5000
Se1 Se 0.1912 0.1912 0.0000
Se2 Se 0.1940 0.1940 0.3312
```

- Density of states at the Fermi level: 0.970 states/eV/atom
- V: 338.1 Å³ per cell
- Crystal system: tetragonal

Verdict on stability: *two* comes out at the bottom.

*one*
DFT (PBE) results for a geometry-optimized CoSiNi6 structure.

The structure in CIF format:
```
data_CoSiNi6
_chemical_formula_sum 'Co1 Si1 Ni6'
_space_group_name_H-M_alt 'P -1'
_space_group_IT_number 2
_space_group_name_Hall '-P 1'
_cell_length_a 4.4555
_cell_length_b 4.4574
_cell_length_c 4.4648
_cell_angle_alpha 89.23
_cell_angle_beta 89.29
_cell_angle_gamma 89.86
loop_
_atom_site_label
_atom_site_type_symbol
_atom_site_fract_x
_atom_site_fract_y
_atom_site_fract_z
Co1 Co 0.0000 0.0000 0.0000
Si1 Si 0.5000 0.5000 0.5000
Ni1 Ni 0.0056 0.5070 0.7503
Ni2 Ni 0.2497 0.9942 0.4929
Ni3 Ni 0.4979 0.2499 0.9887
```

- Density of states at the Fermi level: 1.320 states/eV/atom
- V: 88.7 Å³ per cell
- Crystal system: triclinic

*two*
DFT (PBE) results for a geometry-optimized CoSiNi6 structure.

The structure in CIF format:
```
data_CoSiNi6
_chemical_formula_sum 'Co8 Si8 Ni48'
_space_group_name_H-M_alt 'C m m m'
_space_group_IT_number 65
_space_group_name_Hall '-C 2 2'
_cell_length_a 7.0355
_cell_length_b 9.9387
_cell_length_c 9.9368
_cell_angle_alpha 90.00
_cell_angle_beta 90.00
_cell_angle_gamma 90.00
loop_
_atom_site_label
_atom_site_type_symbol
_atom_site_fract_x
_atom_site_fract_y
_atom_site_fract_z
Co1 Co 0.0000 0.0000 0.2481
Co2 Co 0.0000 0.2480 0.0000
Si1 Si 0.0000 0.2471 0.5000
Si2 Si 0.0000 0.5000 0.2495
Ni1 Ni 0.0000 0.0000 0.0000
Ni2 Ni 0.0000 0.0000 0.5000
Ni3 Ni 0.0000 0.2501 0.2508
Ni4 Ni 0.0000 0.5000 0.0000
Ni5 Ni 0.0000 0.5000 0.5000
Ni6 Ni 0.2485 0.3750 0.1259
Ni7 Ni 0.2486 0.3750 0.3759
```

- Density of states at the Fermi level: 1.378 states/eV/atom
- V: 694.8 Å³ per cell
- Crystal system: orthorhombic

Verdict on stability: *one* comes out at the bottom.

*one*
DFT (PBE) results for a geometry-optimized CoSi2Ni2 structure.

The structure in CIF format:
```
data_CoSi2Ni2
_chemical_formula_sum 'Co2 Si4 Ni4'
_space_group_name_H-M_alt 'P 4/m b m'
_space_group_IT_number 127
_space_group_name_Hall '-P 4 2ab'
_cell_length_a 6.6215
_cell_length_b 6.6215
_cell_length_c 2.5717
_cell_angle_alpha 90.00
_cell_angle_beta 90.00
_cell_angle_gamma 90.00
loop_
_atom_site_label
_atom_site_type_symbol
_atom_site_fract_x
_atom_site_fract_y
_atom_site_fract_z
Co1 Co 0.0000 0.0000 0.0000
Si1 Si 0.1700 0.3300 0.5000
Ni1 Ni 0.1303 0.6303 0.0000
```

- Density of states at the Fermi level: 0.794 states/eV/atom
- V: 112.8 Å³ per cell
- Crystal system: tetragonal

*two*
DFT (PBE) results for a geometry-optimized CoSi2Ni2 structure.

The structure in CIF format:
```
data_CoSi2Ni2
_chemical_formula_sum 'Co2 Si4 Ni4'
_space_group_name_H-M_alt 'P 4/m b m'
_space_group_IT_number 127
_space_group_name_Hall '-P 4 2ab'
_cell_length_a 6.3770
_cell_length_b 6.3770
_cell_length_c 2.7878
_cell_angle_alpha 90.00
_cell_angle_beta 90.00
_cell_angle_gamma 90.00
loop_
_atom_site_label
_atom_site_type_symbol
_atom_site_fract_x
_atom_site_fract_y
_atom_site_fract_z
Co1 Co 0.0000 0.0000 0.0000
Si1 Si 0.1548 0.3452 0.0000
Ni1 Ni 0.1417 0.6417 0.5000
```

- Density of states at the Fermi level: 0.634 states/eV/atom
- V: 113.4 Å³ per cell
- Crystal system: tetragonal

*three*
DFT (PBE) results for a geometry-optimized CoSi2Ni2 structure.

The structure in CIF format:
```
data_CoSi2Ni2
_chemical_formula_sum 'Co2 Si4 Ni4'
_space_group_name_H-M_alt 'I 4/m m m'
_space_group_IT_number 139
_space_group_name_Hall '-I 4 2'
_cell_length_a 3.4945
_cell_length_b 3.4945
_cell_length_c 10.3743
_cell_angle_alpha 90.00
_cell_angle_beta 90.00
_cell_angle_gamma 90.00
loop_
_atom_site_label
_atom_site_type_symbol
_atom_site_fract_x
_atom_site_fract_y
_atom_site_fract_z
Co1 Co 0.0000 0.0000 0.0000
Si1 Si 0.0000 0.5000 0.2500
Ni1 Ni 0.0000 0.0000 0.3889
```

- Density of states at the Fermi level: 0.930 states/eV/atom
- V: 126.7 Å³ per cell
- Crystal system: tetragonal

Verdict on stability: *three* comes out at the bottom.